(1)
This record from the Open Quantum Materials Database describes an optimized crystal structure of Cu2SeCl2. The functional is GGA-PBE.

Results
Uncorrected energy ... -3.236 eV per atom
Space group ... Fddd (70)

a b c (Å): 8.7520 7.7441 6.8836
angles (deg): 73.23 57.91 48.86
Last column: nearest neighbours and their distance in Å.
Fractional coordinates of all 10 atoms:
Cl (0.4852, 0.4852, 0.0148)  2 Cu 2.26
Cl (0.7648, 0.7648, 0.2352)  2 Cu 2.26
Cl (0.0148, 0.0148, 0.4852)  2 Cu 2.26
Cl (0.2352, 0.2352, 0.7648)  2 Cu 2.26
Cu (0.6250, 0.1250, 0.1250)  2 Cl 2.26, 2 Se 2.40
Cu (0.1250, 0.6250, 0.1250)  2 Cl 2.26, 2 Se 2.40
Cu (0.1250, 0.1250, 0.1250)  2 Cl 2.26, 2 Se 2.40
Cu (0.1250, 0.1250, 0.6250)  2 Cl 2.26, 2 Se 2.40
Se (0.0000, 0.0000, 0.0000)  4 Cu 2.40
Se (0.2500, 0.2500, 0.2500)  4 Cu 2.40

(2)
This record from the Open Quantum Materials Database describes an optimized crystal structure of Ho4Ge9Ir13. The functional is GGA-PBE.

Results
Uncorrected energy ... -7.389 eV per atom
Space group ... Pmmn (59)

a b c (Å): 3.9945 11.2987 19.4997
angles (deg): 90.00 90.00 90.00
Last column: nearest neighbours and their distance in Å.
Fractional coordinates of all 52 atoms:
Ge (0.2500, 0.5640, 0.0812)  5 Ir 2.41-2.49
Ge (0.2500, 0.9360, 0.0812)  5 Ir 2.41-2.49
Ge (0.7500, 0.2500, 0.0997)  7 Ir 2.48-2.58
Ge (0.2500, 0.7500, 0.2653)  5 Ir 2.42-2.50
Ge (0.2500, 0.1196, 0.2688)  6 Ir 2.47-2.61
Ge (0.2500, 0.3804, 0.2688)  6 Ir 2.47-2.61
Ge (0.2500, 0.2500, 0.3988)  6 Ir 2.46-2.61
Ge (0.7500, 0.5706, 0.4154)  7 Ir 2.43-2.63
Ge (0.7500, 0.9294, 0.4154)  7 Ir 2.43-2.63
Ge (0.2500, 0.0706, 0.5846)  7 Ir 2.43-2.63
Ge (0.2500, 0.4294, 0.5846)  7 Ir 2.43-2.63
Ge (0.7500, 0.7500, 0.6012)  6 Ir 2.46-2.61
Ge (0.7500, 0.6196, 0.7312)  6 Ir 2.47-2.61
Ge (0.7500, 0.8804, 0.7312)  6 Ir 2.47-2.61
Ge (0.7500, 0.2500, 0.7347)  5 Ir 2.42-2.50
Ge (0.2500, 0.7500, 0.9003)  7 Ir 2.48-2.58
Ge (0.7500, 0.0640, 0.9188)  5 Ir 2.41-2.49
Ge (0.7500, 0.4360, 0.9188)  5 Ir 2.41-2.49
Ho (0.7500, 0.7500, 0.0225)  8 Ir 3.06-3.42, 6 Ge 3.11-3.12
Ho (0.7500, 0.5590, 0.2075)  6 Ge 3.08-3.17, 8 Ir 3.16-3.40
Ho (0.7500, 0.9410, 0.2075)  6 Ge 3.08-3.17, 8 Ir 3.16-3.40
Ho (0.2500, 0.7500, 0.4810)  6 Ge 3.08-3.12, 6 Ir 3.15-3.36
Ho (0.7500, 0.2500, 0.5190)  6 Ge 3.08-3.12, 6 Ir 3.15-3.36
Ho (0.2500, 0.0590, 0.7925)  6 Ge 3.08-3.17, 8 Ir 3.16-3.40
Ho (0.2500, 0.4410, 0.7925)  6 Ge 3.08-3.17, 8 Ir 3.16-3.40
Ho (0.2500, 0.2500, 0.9775)  8 Ir 3.06-3.42, 6 Ge 3.11-3.12
Ir (0.7500, 0.0496, 0.0461)  4 Ge 2.47-2.49
Ir (0.7500, 0.4504, 0.0461)  4 Ge 2.47-2.49
Ir (0.2500, 0.7500, 0.1412)  3 Ge 2.41-2.42
Ir (0.2500, 0.1260, 0.1421)  4 Ge 2.45-2.58
Ir (0.2500, 0.3740, 0.1421)  4 Ge 2.45-2.58
Ir (0.7500, 0.2500, 0.2271)  5 Ge 2.48-2.61
Ir (0.2500, 0.5670, 0.3353)  4 Ge 2.48-2.54
Ir (0.2500, 0.9330, 0.3353)  4 Ge 2.48-2.54
Ir (0.7500, 0.7500, 0.3424)  4 Ge 2.48-2.50
Ir (0.7500, 0.1227, 0.3545)  5 Ge 2.49-2.61
Ir (0.7500, 0.3773, 0.3545)  5 Ge 2.49-2.61
Ir (0.2500, 0.0596, 0.4602)  4 Ge 2.43-2.63
Ir (0.2500, 0.4404, 0.4602)  4 Ge 2.43-2.63
Ir (0.7500, 0.5596, 0.5398)  4 Ge 2.43-2.63
Ir (0.7500, 0.9404, 0.5398)  4 Ge 2.43-2.63
Ir (0.2500, 0.6227, 0.6455)  5 Ge 2.49-2.61
Ir (0.2500, 0.8773, 0.6455)  5 Ge 2.49-2.61
Ir (0.2500, 0.2500, 0.6576)  4 Ge 2.48-2.50
Ir (0.7500, 0.0670, 0.6647)  4 Ge 2.48-2.54
Ir (0.7500, 0.4330, 0.6647)  4 Ge 2.48-2.54
Ir (0.2500, 0.7500, 0.7729)  5 Ge 2.48-2.61
Ir (0.7500, 0.6260, 0.8579)  4 Ge 2.45-2.58
Ir (0.7500, 0.8740, 0.8579)  4 Ge 2.45-2.58
Ir (0.7500, 0.2500, 0.8588)  3 Ge 2.41-2.42
Ir (0.2500, 0.5496, 0.9539)  4 Ge 2.47-2.49
Ir (0.2500, 0.9504, 0.9539)  4 Ge 2.47-2.49